Entry 1:
# PBE LaNdRu4, relaxed
# - E_form (eV/atom) = -0.1282
# - density (g/cm³) = 10.02
data_LaNdRu4
_chemical_formula_sum 'La4 Nd4 Ru16'
_symmetry_space_group_name_H-M 'F -4 3 m'
_symmetry_Int_Tables_number 216
_symmetry_space_group_name_Hall 'F -4 2 3'
_cell_length_a 7.6950
_cell_length_b 7.6950
_cell_length_c 7.6950
_cell_angle_alpha 90.00
_cell_angle_beta 90.00
_cell_angle_gamma 90.00
loop_
_atom_site_label
_atom_site_type_symbol
_atom_site_fract_x
_atom_site_fract_y
_atom_site_fract_z
_atom_site_occupancy
La1 La 0.0000 0.0000 0.0000 1
Nd1 Nd 0.2500 0.2500 0.7500 1
Ru1 Ru 0.1249 0.1249 0.3751 1

---

Entry 2:
# PBE Tl3SnRh, relaxed
# - energy relative to the lowest polymorph listed for this composition (meV per atom) = 0
# - E_form (eV/atom) = 0.1887
# - density (g/cm³) = 9.47
data_Tl3SnRh
_chemical_formula_sum 'Tl3 Sn1 Rh1'
_symmetry_space_group_name_H-M 'P m -3 m'
_symmetry_Int_Tables_number 221
_symmetry_space_group_name_Hall '-P 4 2 3'
_cell_length_a 5.2706
_cell_length_b 5.2706
_cell_length_c 5.2706
_cell_angle_alpha 90.00
_cell_angle_beta 90.00
_cell_angle_gamma 90.00
loop_
_atom_site_label
_atom_site_type_symbol
_atom_site_fract_x
_atom_site_fract_y
_atom_site_fract_z
_atom_site_occupancy
Tl1 Tl 0.0000 0.0000 0.5000 1
Sn1 Sn 0.5000 0.5000 0.5000 1
Rh1 Rh 0.0000 0.0000 0.0000 1

---

Entry 3:
# PBE Tl2SbRuO6, relaxed
# - density (g/cm³) = 9.05
# - raw formation energy (meV per atom) = -824
data_Tl2SbRuO6
_chemical_formula_sum 'Tl2 Sb1 Ru1 O6'
_symmetry_space_group_name_H-M 'P -1'
_symmetry_Int_Tables_number 2
_cell_length_a 5.6710
_cell_length_b 5.6720
_cell_length_c 5.7691
_cell_angle_alpha 60.57
_cell_angle_beta 60.56
_cell_angle_gamma 89.99
loop_
_symmetry_equiv_pos_as_xyz
'x,y,z'
'-x,-y,-z'
loop_
_atom_site_label
_atom_site_type_symbol
_atom_site_fract_x
_atom_site_fract_y
_atom_site_fract_z
_atom_site_occupancy
Tl1 Tl 0.2503 0.2492 0.0003 1
Sb1 Sb 0.0000 0.5000 0.5000 1
Ru1 Ru 0.5000 0.0000 0.5000 1
O1 O 0.1975 0.8121 0.5009 1
O2 O 0.2571 0.7598 0.9850 1
O3 O 0.3137 0.3021 0.4991 1

---

Entry 4:
# PBE Cr3SN, relaxed
# - energy relative to the lowest polymorph listed for this composition (meV per atom) = 0
# - density (g/cm³) = 5.97
# - raw formation energy (meV per atom) = 10
data_Cr3SN
_chemical_formula_sum 'Cr3 S1 N1'
_symmetry_space_group_name_H-M 'P m -3 m'
_symmetry_Int_Tables_number 221
_symmetry_space_group_name_Hall '-P 4 2 3'
_cell_length_a 3.8299
_cell_length_b 3.8299
_cell_length_c 3.8299
_cell_angle_alpha 90.00
_cell_angle_beta 90.00
_cell_angle_gamma 90.00
loop_
_atom_site_label
_atom_site_type_symbol
_atom_site_fract_x
_atom_site_fract_y
_atom_site_fract_z
_atom_site_occupancy
Cr1 Cr 0.0000 0.0000 0.5000 1
S1 S 0.5000 0.5000 0.5000 1
N1 N 0.0000 0.0000 0.0000 1

---

Entry 5:
# PBE Pu2UGa, relaxed
# - energy relative to the lowest polymorph listed for this composition (meV per atom) = 0
# - E_form (eV/atom) = -0.0761
# - density (g/cm³) = 15.87
data_Pu2UGa
_chemical_formula_sum 'Pu4 U2 Ga2'
_symmetry_space_group_name_H-M 'P 4/n m m'
_symmetry_Int_Tables_number 129
_cell_length_a 4.5638
_cell_length_b 4.5638
_cell_length_c 7.9931
_cell_angle_alpha 90.00
_cell_angle_beta 90.00
_cell_angle_gamma 90.00
loop_
_symmetry_equiv_pos_as_xyz
'x,y,z'
'-x,-y,-z'
'-y+1/2,x,z'
'y+1/2,-x,-z'
'-x+1/2,-y+1/2,z'
'x+1/2,y+1/2,-z'
'y,-x+1/2,z'
'-y,x+1/2,-z'
'x+1/2,-y,-z'
'-x+1/2,y,z'
'-y,-x,-z'
'y,x,z'
'-x,y+1/2,-z'
'x,-y+1/2,z'
'y+1/2,x+1/2,-z'
'-y+1/2,-x+1/2,z'
loop_
_atom_site_label
_atom_site_type_symbol
_atom_site_fract_x
_atom_site_fract_y
_atom_site_fract_z
_atom_site_occupancy
Pu1 Pu 0.2500 0.7500 0.0000 1
Pu2 Pu 0.2500 0.7500 0.5000 1
U1 U 0.2500 0.2500 0.1605 1
Ga1 Ga 0.2500 0.2500 0.7562 1

---

Entry 6:
# PBE Li3RhS, relaxed
# - energy relative to the lowest polymorph listed for this composition (meV per atom) = 0
# - density (g/cm³) = 2.99
# - raw formation energy (meV per atom) = -130
data_Li3RhS
_chemical_formula_sum 'Li3 Rh1 S1'
_symmetry_space_group_name_H-M 'P m -3 m'
_symmetry_Int_Tables_number 221
_symmetry_space_group_name_Hall '-P 4 2 3'
_cell_length_a 4.4230
_cell_length_b 4.4230
_cell_length_c 4.4230
_cell_angle_alpha 90.00
_cell_angle_beta 90.00
_cell_angle_gamma 90.00
loop_
_atom_site_label
_atom_site_type_symbol
_atom_site_fract_x
_atom_site_fract_y
_atom_site_fract_z
_atom_site_occupancy
Li1 Li 0.0000 0.0000 0.5000 1
Rh1 Rh 0.5000 0.5000 0.5000 1
S1 S 0.0000 0.0000 0.0000 1

---

The lowest density belongs to which entry?
Li3RhS